Entry from the Open Quantum Materials Database: a geometry-optimized HfIn2Au structure (PBE).

Uncorrected energy = -4.644 eV/atom

abc: 6.995 6.995 6.995
angles: 90.00 90.00 90.00
Space group F-43m (No. 216)
Symmetry-distinct sites (fractional):
1 Hf 0.000 0.000 0.000 (multiplicity 4)
2 In 0.000 0.000 0.500 (multiplicity 4)
3 In 0.250 0.250 0.250 (multiplicity 4)
4 Au 0.250 0.250 0.750 (multiplicity 4)